DFT (PBE-GGA) results for an optimized crystal structure of Tb4Pt2N.

Geometry as CIF:
```
data_Tb4Pt2N
_chemical_formula_sum 'Tb8 Pt4 N2'
_cell_length_a 4.6787
_cell_length_b 4.6787
_cell_length_c 14.4701
_cell_angle_alpha 90.00
_cell_angle_beta 90.00
_cell_angle_gamma 90.00
_space_group_name_H-M_alt 'I 4/m m m'
_space_group_IT_number 139
_space_group_name_Hall '-I 4 2'
loop_
_atom_site_label
_atom_site_fract_x
_atom_site_fract_y
_atom_site_fract_z
_atom_site_occupancy
Tb1 0.0000 0.0000 0.1765 1
Tb2 0.0000 0.5000 0.0000 1
Pt1 0.0000 0.0000 0.3684 1
N1 0.0000 0.0000 0.0000 1
```

Calculated values
Energy relative to the elements, uncorrected, meV per atom: -1096
Density of states at the Fermi level, states/eV per cell: 13.055
Total magnetic moment, μB per cell: 0.0

DFT (PBE-GGA) results for an optimized crystal structure of Tb12Pt3N5.

Geometry as CIF:
```
data_Tb12Pt3N5
_chemical_formula_sum 'Tb96 Pt24 N40'
_cell_length_a 15.3283
_cell_length_b 15.3283
_cell_length_c 15.3283
_cell_angle_alpha 90.00
_cell_angle_beta 90.00
_cell_angle_gamma 90.00
_space_group_name_H-M_alt 'I a -3 d'
_space_group_IT_number 230
_space_group_name_Hall '-I 4bd 2c 3'
loop_
_atom_site_label
_atom_site_fract_x
_atom_site_fract_y
_atom_site_fract_z
_atom_site_occupancy
Tb1 0.0321 0.0537 0.6506 1
Pt1 0.0000 0.2500 0.1250 1
N1 0.0000 0.0000 0.0000 1
N2 0.0000 0.2500 0.3750 1
```

Calculated values
Energy relative to the elements, uncorrected, meV per atom: -1081
Density of states at the Fermi level, states/eV per cell: 108.237
Total magnetic moment, μB per cell: 0.0

DFT (PBE-GGA) results for an optimized crystal structure of TcPtN2.

Geometry as CIF:
```
data_TcPtN2
_chemical_formula_sum 'Tc4 Pt4 N8'
_cell_length_a 4.7396
_cell_length_b 4.7396
_cell_length_c 9.1460
_cell_angle_alpha 90.00
_cell_angle_beta 90.00
_cell_angle_gamma 90.00
_space_group_name_H-M_alt 'I -4 2 d'
_space_group_IT_number 122
_space_group_name_Hall 'I -4 2bw'
loop_
_atom_site_label
_atom_site_fract_x
_atom_site_fract_y
_atom_site_fract_z
_atom_site_occupancy
Tc1 0.0000 0.0000 0.0000 1
Pt1 0.0000 0.0000 0.5000 1
N1 0.2137 0.2500 0.1250 1
```

Calculated values
Energy relative to the elements, uncorrected, meV per atom: 423
Polymorph energy (0 for the lowest one), kcal/mol of atoms: 0.00
Density of states at the Fermi level, states/eV per cell: 11.389
Total magnetic moment, μB per cell: 0.0

DFT (PBE-GGA) results for an optimized crystal structure of TcPtN2.

Geometry as CIF:
```
data_TcPtN2
_chemical_formula_sum 'Tc4 Pt4 N8'
_cell_length_a 5.5007
_cell_length_b 5.5007
_cell_length_c 5.5007
_cell_angle_alpha 90.00
_cell_angle_beta 90.00
_cell_angle_gamma 90.00
_space_group_name_H-M_alt 'F m -3 m'
_space_group_IT_number 225
_space_group_name_Hall '-F 4 2 3'
loop_
_atom_site_label
_atom_site_fract_x
_atom_site_fract_y
_atom_site_fract_z
_atom_site_occupancy
Tc1 0.0000 0.0000 0.0000 1
Pt1 0.0000 0.0000 0.5000 1
N1 0.2500 0.2500 0.2500 1
```

Calculated values
Energy relative to the elements, uncorrected, meV per atom: 1352
Polymorph energy (0 for the lowest one), kcal/mol of atoms: 21.44
Density of states at the Fermi level, states/eV per cell: 15.658
Total magnetic moment, μB per cell: 0.0